Record 1
Compound: NdEr6Cd
Source: Alexandria via LeMat-Bulk
Functional: PBE
Structure: relaxed

```
NdEr6Cd
1.0
4.615 2.664 3.300
-4.615 2.664 3.300
0.000 -5.329 3.300
Nd Er Cd
1 6 1
Direct
0.000 0.000 0.000
0.051 0.541 0.259
0.259 0.051 0.541
0.459 0.741 0.949
0.541 0.259 0.051
0.741 0.949 0.459
0.949 0.459 0.741
0.500 0.500 0.500
```

Summary:
Space-group type: R-3
Energy relative to the elements (meV per atom): 59
Total magnetic moment (μB/cell): 0.000

***

Record 2
Compound: Nd8ErCd2
Source: Alexandria via LeMat-Bulk
Functional: PBE
Structure: relaxed

```
Nd8ErCd2
1.0
4.489 -7.764 0.000
4.489 7.764 0.000
-2.264 0.000 5.306
Nd Er Cd
8 1 2
Direct
0.094 0.316 0.611
0.220 0.780 0.000
0.316 0.094 0.611
0.401 0.401 0.202
0.599 0.599 0.798
0.684 0.906 0.389
0.780 0.220 0.000
0.906 0.684 0.389
0.000 0.000 0.000
0.306 0.694 0.500
0.694 0.306 0.500
```

Summary:
Space-group type: C2/m
Energy relative to the elements (meV per atom): 12
Total magnetic moment (μB/cell): 0.000

***

Record 3
Compound: Nd2Er3Cd
Source: Alexandria via LeMat-Bulk
Functional: PBE
Structure: relaxed

```
Nd2Er3Cd
1.0
-1.703 8.638 3.274
1.703 -8.638 3.274
1.703 8.638 -3.274
Nd Er Cd
2 3 1
Direct
0.192 0.000 0.192
0.808 0.000 0.808
0.186 0.686 0.500
0.363 0.493 0.869
0.624 0.493 0.131
0.794 0.794 0.000
```

Summary:
Space-group type: Imm2
Energy relative to the elements (meV per atom): 144
Total magnetic moment (μB/cell): 0.000

***

Record 4
Compound: Nd4Er5Cd
Source: Alexandria via LeMat-Bulk
Functional: PBE
Structure: relaxed

```
Nd4Er5Cd
1.0
3.605 0.000 0.000
0.000 3.605 0.000
0.000 0.000 24.164
Nd Er Cd
4 5 1
Direct
0.000 0.000 0.104
0.000 0.000 0.313
0.000 0.000 0.687
0.000 0.000 0.896
0.500 0.500 0.000
0.500 0.500 0.208
0.500 0.500 0.417
0.500 0.500 0.583
0.500 0.500 0.792
0.000 0.000 0.500
```

Summary:
Space-group type: P4/mmm
Energy relative to the elements (meV per atom): -47
Excess energy over the best structure of this formula in the dataset (eV per atom): 0.000
Total magnetic moment (μB/cell): 0.001

***

Record 5
Compound: Nd6Er2Cd
Source: Alexandria via LeMat-Bulk
Functional: PBE
Structure: relaxed

```
Nd6Er2Cd
1.0
10.757 -3.145 0.000
10.757 3.145 0.000
-3.144 0.000 8.675
Nd Er Cd
12 4 2
Direct
0.002 0.673 0.087
0.132 0.765 0.867
0.235 0.868 0.633
0.236 0.539 0.472
0.327 0.998 0.413
0.461 0.764 0.028
0.539 0.236 0.972
0.673 0.002 0.587
0.764 0.461 0.528
0.765 0.132 0.367
0.868 0.235 0.133
0.998 0.327 0.913
0.110 0.445 0.695
0.445 0.110 0.195
0.555 0.890 0.805
0.890 0.555 0.305
0.326 0.674 0.250
0.674 0.326 0.750
```

Summary:
Space-group type: C2/c
Energy relative to the elements (meV per atom): -35
Total magnetic moment (μB/cell): 0.000

***

Record 6
Compound: Nd4Er5Cd
Source: Alexandria via LeMat-Bulk
Functional: PBE
Structure: relaxed

```
Nd4Er5Cd
1.0
-5.369 5.369 2.863
5.369 -5.369 2.863
5.369 5.369 -2.863
Nd Er Cd
4 5 1
Direct
0.000 0.317 0.317
0.000 0.683 0.683
0.317 0.000 0.317
0.683 0.000 0.683
0.190 0.190 0.000
0.307 0.307 0.633
0.307 0.674 0.000
0.674 0.307 0.000
0.674 0.674 0.367
0.707 0.707 0.000
```

Summary:
Space-group type: I4mm
Energy relative to the elements (meV per atom): 103
Excess energy over the best structure of this formula in the dataset (eV per atom): 0.149
Total magnetic moment (μB/cell): 0.000

***

Record 7
Compound: NdErCd17
Source: Alexandria via LeMat-Bulk
Functional: PBE
Structure: relaxed

```
NdErCd17
1.0
5.032 2.905 5.006
-5.032 2.905 5.006
0.000 -5.810 5.006
Nd Er Cd
1 1 17
Direct
0.000 0.000 0.000
0.344 0.344 0.344
0.048 0.048 0.457
0.048 0.457 0.048
0.142 0.692 0.692
0.323 0.323 0.791
0.323 0.791 0.323
0.367 0.666 0.973
0.367 0.973 0.666
0.457 0.048 0.048
0.564 0.564 0.564
0.666 0.367 0.973
0.666 0.973 0.367
0.692 0.142 0.692
0.692 0.692 0.142
0.759 0.759 0.759
0.791 0.323 0.323
0.973 0.367 0.666
0.973 0.666 0.367
```

Summary:
Space-group type: R3m
Energy relative to the elements (meV per atom): -121
Total magnetic moment (μB/cell): 0.000

***

Record 8
Compound: Nd12ErCd3
Source: Alexandria via LeMat-Bulk
Functional: PBE
Structure: relaxed

```
Nd12ErCd3
1.0
5.006 0.000 0.000
0.000 5.006 0.000
0.000 0.000 20.286
Nd Er Cd
12 1 3
Direct
0.000 0.000 0.000
0.000 0.000 0.246
0.000 0.000 0.500
0.000 0.000 0.754
0.000 0.500 0.123
0.000 0.500 0.370
0.000 0.500 0.630
0.000 0.500 0.877
0.500 0.000 0.123
0.500 0.000 0.370
0.500 0.000 0.630
0.500 0.000 0.877
0.500 0.500 0.500
0.500 0.500 0.000
0.500 0.500 0.244
0.500 0.500 0.756
```

Summary:
Space-group type: P4/mmm
Energy relative to the elements (meV per atom): -76
Total magnetic moment (μB/cell): 0.000